Run a
# BPRhCl2 (GGA-PBE, optimized geometry)
data_BPRhCl2
_cell_length_a 3.192
_cell_length_b 3.587
_cell_length_c 8.815
_cell_angle_alpha 94.57
_cell_angle_beta 90.59
_cell_angle_gamma 90.02
_space_group_name_H-M_alt 'P 1'
_space_group_IT_number 1
_space_group_name_Hall 'P 1'
loop_
_atom_site_label
_atom_site_type_symbol
_atom_site_fract_x
_atom_site_fract_y
_atom_site_fract_z
_atom_site_occupancy
B1 B 0.000 0.000 0.000 1
P1 P 0.497 0.845 0.894 1
Rh1 Rh 0.492 0.321 0.734 1
Cl1 Cl 0.005 0.285 0.169 1
Cl2 Cl 0.486 0.780 0.544 1
# Density of states at the Fermi level = 2.863 states/eV/cell


Run b
# BPRhCl2 (GGA-PBE, optimized geometry)
data_BPRhCl2
_cell_length_a 6.817
_cell_length_b 3.249
_cell_length_c 9.270
_cell_angle_alpha 90.00
_cell_angle_beta 109.67
_cell_angle_gamma 90.00
_space_group_name_H-M_alt 'C 1 m 1'
_space_group_IT_number 8
_space_group_name_Hall 'C -2y'
loop_
_atom_site_label
_atom_site_type_symbol
_atom_site_fract_x
_atom_site_fract_y
_atom_site_fract_z
_atom_site_occupancy
B1 B 0.000 0.000 0.000 1
P1 P 0.372 0.000 0.904 1
Rh1 Rh 0.027 0.000 0.763 1
Cl1 Cl 0.145 0.500 0.590 1
Cl2 Cl 0.188 0.000 0.185 1
# Density of states at the Fermi level = 7.420 states/eV/cell


Run c
# BPRhCl2 (GGA-PBE, optimized geometry)
data_BPRhCl2
_cell_length_a 3.666
_cell_length_b 4.574
_cell_length_c 8.125
_cell_angle_alpha 94.72
_cell_angle_beta 97.88
_cell_angle_gamma 113.59
_space_group_name_H-M_alt 'P 1'
_space_group_IT_number 1
_space_group_name_Hall 'P 1'
loop_
_atom_site_label
_atom_site_type_symbol
_atom_site_fract_x
_atom_site_fract_y
_atom_site_fract_z
_atom_site_occupancy
B1 B 0.000 0.000 0.000 1
P1 P 0.742 0.560 0.878 1
Rh1 Rh 0.076 0.263 0.819 1
Cl1 Cl 0.103 0.072 0.218 1
Cl2 Cl 0.741 0.714 0.620 1
# Density of states at the Fermi level = 0.708 states/eV/cell


Run d
# BPRhCl2 (GGA-PBE, optimized geometry)
data_BPRhCl2
_cell_length_a 4.198
_cell_length_b 4.198
_cell_length_c 4.313
_cell_angle_alpha 90.00
_cell_angle_beta 90.00
_cell_angle_gamma 90.00
_space_group_name_H-M_alt 'P 4/m m m'
_space_group_IT_number 123
_space_group_name_Hall '-P 4 2'
loop_
_atom_site_label
_atom_site_type_symbol
_atom_site_fract_x
_atom_site_fract_y
_atom_site_fract_z
_atom_site_occupancy
B1 B 0.000 0.000 0.000 1
P1 P 0.000 0.000 0.500 1
Rh1 Rh 0.500 0.500 0.500 1
Cl1 Cl 0.000 0.500 0.000 1
# Density of states at the Fermi level = 4.643 states/eV/cell


Relative energies, kJ/mol of atoms: run a 4.5; run b 0.0; run c 9.2; run d 128.2.


Run a
# BPRhCl2 (GGA-PBE, optimized geometry)
data_BPRhCl2
_cell_length_a 5.010
_cell_length_b 5.010
_cell_length_c 4.413
_cell_angle_alpha 90.00
_cell_angle_beta 90.00
_cell_angle_gamma 90.00
_space_group_name_H-M_alt 'P 4/m m m'
_space_group_IT_number 123
_space_group_name_Hall '-P 4 2'
loop_
_atom_site_label
_atom_site_type_symbol
_atom_site_fract_x
_atom_site_fract_y
_atom_site_fract_z
_atom_site_occupancy
B1 B 0.000 0.000 0.000 1
P1 P 0.500 0.500 0.000 1
Rh1 Rh 0.500 0.500 0.500 1
Cl1 Cl 0.000 0.500 0.500 1
# Density of states at the Fermi level = 3.327 states/eV/cell


Run b
# BPRhCl2 (GGA-PBE, optimized geometry)
data_BPRhCl2
_cell_length_a 3.550
_cell_length_b 4.005
_cell_length_c 8.594
_cell_angle_alpha 98.55
_cell_angle_beta 90.04
_cell_angle_gamma 116.29
_space_group_name_H-M_alt 'P 1'
_space_group_IT_number 1
_space_group_name_Hall 'P 1'
loop_
_atom_site_label
_atom_site_type_symbol
_atom_site_fract_x
_atom_site_fract_y
_atom_site_fract_z
_atom_site_occupancy
B1 B 0.000 0.000 0.000 1
P1 P 0.238 0.474 0.130 1
Rh1 Rh 0.926 0.850 0.216 1
Cl1 Cl 0.531 0.060 0.423 1
Cl2 Cl 0.900 0.802 0.805 1
# Density of states at the Fermi level = 1.679 states/eV/cell


Run c
# BPRhCl2 (GGA-PBE, optimized geometry)
data_BPRhCl2
_cell_length_a 3.307
_cell_length_b 6.411
_cell_length_c 6.904
_cell_angle_alpha 115.00
_cell_angle_beta 90.61
_cell_angle_gamma 104.89
_space_group_name_H-M_alt 'P 1'
_space_group_IT_number 1
_space_group_name_Hall 'P 1'
loop_
_atom_site_label
_atom_site_type_symbol
_atom_site_fract_x
_atom_site_fract_y
_atom_site_fract_z
_atom_site_occupancy
B1 B 0.000 0.000 0.000 1
P1 P 0.016 0.018 0.314 1
Rh1 Rh 0.605 0.201 0.214 1
Cl1 Cl 0.140 0.282 0.958 1
Cl2 Cl 0.855 0.720 0.772 1
# Density of states at the Fermi level = 3.351 states/eV/cell


Relative energies, kJ/mol of atoms: run a 129.2; run b 0.0; run c 18.3.


Run a
# BP2RhCl (GGA-PBE, optimized geometry)
data_BP2RhCl
_cell_length_a 4.058
_cell_length_b 4.058
_cell_length_c 4.291
_cell_angle_alpha 90.00
_cell_angle_beta 90.00
_cell_angle_gamma 90.00
_space_group_name_H-M_alt 'P 4/m m m'
_space_group_IT_number 123
_space_group_name_Hall '-P 4 2'
loop_
_atom_site_label
_atom_site_type_symbol
_atom_site_fract_x
_atom_site_fract_y
_atom_site_fract_z
_atom_site_occupancy
B1 B 0.000 0.000 0.000 1
P1 P 0.000 0.500 0.000 1
Rh1 Rh 0.500 0.500 0.500 1
Cl1 Cl 0.000 0.000 0.500 1
# Density of states at the Fermi level = 2.713 states/eV/cell


Run b
# BP2RhCl (GGA-PBE, optimized geometry)
data_BP2RhCl
_cell_length_a 4.491
_cell_length_b 4.491
_cell_length_c 5.275
_cell_angle_alpha 90.00
_cell_angle_beta 90.00
_cell_angle_gamma 90.00
_space_group_name_H-M_alt 'P 4/m m m'
_space_group_IT_number 123
_space_group_name_Hall '-P 4 2'
loop_
_atom_site_label
_atom_site_type_symbol
_atom_site_fract_x
_atom_site_fract_y
_atom_site_fract_z
_atom_site_occupancy
B1 B 0.000 0.000 0.000 1
P1 P 0.000 0.500 0.500 1
Rh1 Rh 0.500 0.500 0.500 1
Cl1 Cl 0.500 0.500 0.000 1
# Density of states at the Fermi level = 4.419 states/eV/cell


Relative energies, kJ/mol of atoms: run a 0.0; run b 35.3.


Run a
# BPRuCl2 (GGA-PBE, optimized geometry)
data_BPRuCl2
_cell_length_a 4.198
_cell_length_b 4.198
_cell_length_c 4.314
_cell_angle_alpha 90.00
_cell_angle_beta 90.00
_cell_angle_gamma 90.00
_space_group_name_H-M_alt 'P 4/m m m'
_space_group_IT_number 123
_space_group_name_Hall '-P 4 2'
loop_
_atom_site_label
_atom_site_type_symbol
_atom_site_fract_x
_atom_site_fract_y
_atom_site_fract_z
_atom_site_occupancy
B1 B 0.000 0.000 0.000 1
P1 P 0.000 0.000 0.500 1
Ru1 Ru 0.500 0.500 0.500 1
Cl1 Cl 0.000 0.500 0.000 1
# Density of states at the Fermi level = 4.205 states/eV/cell


Run b
# BPRuCl2 (GGA-PBE, optimized geometry)
data_BPRuCl2
_cell_length_a 4.957
_cell_length_b 4.957
_cell_length_c 4.432
_cell_angle_alpha 90.00
_cell_angle_beta 90.00
_cell_angle_gamma 90.00
_space_group_name_H-M_alt 'P 4/m m m'
_space_group_IT_number 123
_space_group_name_Hall '-P 4 2'
loop_
_atom_site_label
_atom_site_type_symbol
_atom_site_fract_x
_atom_site_fract_y
_atom_site_fract_z
_atom_site_occupancy
B1 B 0.000 0.000 0.000 1
P1 P 0.500 0.500 0.000 1
Ru1 Ru 0.500 0.500 0.500 1
Cl1 Cl 0.000 0.500 0.500 1
# Density of states at the Fermi level = 3.053 states/eV/cell


Relative energies, kJ/mol of atoms: run a 6.7; run b 0.0.


Run a
# BP2RuCl (GGA-PBE, optimized geometry)
data_BP2RuCl
_cell_length_a 4.479
_cell_length_b 4.479
_cell_length_c 5.177
_cell_angle_alpha 90.00
_cell_angle_beta 90.00
_cell_angle_gamma 90.00
_space_group_name_H-M_alt 'P 4/m m m'
_space_group_IT_number 123
_space_group_name_Hall '-P 4 2'
loop_
_atom_site_label
_atom_site_type_symbol
_atom_site_fract_x
_atom_site_fract_y
_atom_site_fract_z
_atom_site_occupancy
B1 B 0.000 0.000 0.000 1
P1 P 0.000 0.500 0.500 1
Ru1 Ru 0.500 0.500 0.500 1
Cl1 Cl 0.500 0.500 0.000 1
# Density of states at the Fermi level = 3.832 states/eV/cell


Run b
# BP2RuCl (GGA-PBE, optimized geometry)
data_BP2RuCl
_cell_length_a 3.997
_cell_length_b 3.997
_cell_length_c 4.324
_cell_angle_alpha 90.00
_cell_angle_beta 90.00
_cell_angle_gamma 90.00
_space_group_name_H-M_alt 'P 4/m m m'
_space_group_IT_number 123
_space_group_name_Hall '-P 4 2'
loop_
_atom_site_label
_atom_site_type_symbol
_atom_site_fract_x
_atom_site_fract_y
_atom_site_fract_z
_atom_site_occupancy
B1 B 0.000 0.000 0.000 1
P1 P 0.000 0.500 0.000 1
Ru1 Ru 0.500 0.500 0.500 1
Cl1 Cl 0.000 0.000 0.500 1
# Density of states at the Fermi level = 1.830 states/eV/cell


Relative energies, kJ/mol of atoms: run a 19.9; run b 0.0.


Run a
# BP2SCl (GGA-PBE, optimized geometry)
data_BP2SCl
_cell_length_a 4.316
_cell_length_b 4.316
_cell_length_c 4.101
_cell_angle_alpha 90.00
_cell_angle_beta 90.00
_cell_angle_gamma 90.00
_space_group_name_H-M_alt 'P 4/m m m'
_space_group_IT_number 123
_space_group_name_Hall '-P 4 2'
loop_
_atom_site_label
_atom_site_type_symbol
_atom_site_fract_x
_atom_site_fract_y
_atom_site_fract_z
_atom_site_occupancy
B1 B 0.000 0.000 0.000 1
P1 P 0.000 0.500 0.000 1
S1 S 0.000 0.000 0.500 1
Cl1 Cl 0.500 0.500 0.500 1
# Density of states at the Fermi level = 2.411 states/eV/cell


Run b
# BP2SCl (GGA-PBE, optimized geometry)
data_BP2SCl
_cell_length_a 4.573
_cell_length_b 4.573
_cell_length_c 4.923
_cell_angle_alpha 90.00
_cell_angle_beta 90.00
_cell_angle_gamma 90.00
_space_group_name_H-M_alt 'P 4/m m m'
_space_group_IT_number 123
_space_group_name_Hall '-P 4 2'
loop_
_atom_site_label
_atom_site_type_symbol
_atom_site_fract_x
_atom_site_fract_y
_atom_site_fract_z
_atom_site_occupancy
B1 B 0.000 0.000 0.000 1
P1 P 0.000 0.500 0.500 1
S1 S 0.500 0.500 0.500 1
Cl1 Cl 0.500 0.500 0.000 1
# Density of states at the Fermi level = 3.136 states/eV/cell


Relative energies, kJ/mol of atoms: run a 0.0; run b 70.3.


Run a
# BP2SCl (GGA-PBE, optimized geometry)
data_BP2SCl
_cell_length_a 4.310
_cell_length_b 4.310
_cell_length_c 4.036
_cell_angle_alpha 90.00
_cell_angle_beta 90.00
_cell_angle_gamma 90.00
_space_group_name_H-M_alt 'P 4/m m m'
_space_group_IT_number 123
_space_group_name_Hall '-P 4 2'
loop_
_atom_site_label
_atom_site_type_symbol
_atom_site_fract_x
_atom_site_fract_y
_atom_site_fract_z
_atom_site_occupancy
B1 B 0.000 0.000 0.000 1
P1 P 0.000 0.500 0.000 1
S1 S 0.500 0.500 0.500 1
Cl1 Cl 0.000 0.000 0.500 1
# Density of states at the Fermi level = 2.807 states/eV/cell


Run b
# BP2SCl (GGA-PBE, optimized geometry)
data_BP2SCl
_cell_length_a 4.582
_cell_length_b 4.582
_cell_length_c 4.909
_cell_angle_alpha 90.00
_cell_angle_beta 90.00
_cell_angle_gamma 90.00
_space_group_name_H-M_alt 'P 4/m m m'
_space_group_IT_number 123
_space_group_name_Hall '-P 4 2'
loop_
_atom_site_label
_atom_site_type_symbol
_atom_site_fract_x
_atom_site_fract_y
_atom_site_fract_z
_atom_site_occupancy
B1 B 0.000 0.000 0.000 1
P1 P 0.000 0.500 0.500 1
S1 S 0.500 0.500 0.000 1
Cl1 Cl 0.500 0.500 0.500 1
# Density of states at the Fermi level = 5.047 states/eV/cell


Relative energies, kJ/mol of atoms: run a 0.0; run b 115.3.


Run a
# BSbP2Cl (GGA-PBE, optimized geometry)
data_BSbP2Cl
_cell_length_a 4.379
_cell_length_b 4.379
_cell_length_c 4.248
_cell_angle_alpha 90.00
_cell_angle_beta 90.00
_cell_angle_gamma 90.00
_space_group_name_H-M_alt 'P 4/m m m'
_space_group_IT_number 123
_space_group_name_Hall '-P 4 2'
loop_
_atom_site_label
_atom_site_type_symbol
_atom_site_fract_x
_atom_site_fract_y
_atom_site_fract_z
_atom_site_occupancy
B1 B 0.000 0.000 0.000 1
Sb1 Sb 0.500 0.500 0.500 1
P1 P 0.000 0.500 0.000 1
Cl1 Cl 0.000 0.000 0.500 1
# Density of states at the Fermi level = 3.240 states/eV/cell


Run b
# BSbP2Cl (GGA-PBE, optimized geometry)
data_BSbP2Cl
_cell_length_a 5.132
_cell_length_b 5.132
_cell_length_c 5.260
_cell_angle_alpha 90.00
_cell_angle_beta 90.00
_cell_angle_gamma 90.00
_space_group_name_H-M_alt 'P 4/m m m'
_space_group_IT_number 123
_space_group_name_Hall '-P 4 2'
loop_
_atom_site_label
_atom_site_type_symbol
_atom_site_fract_x
_atom_site_fract_y
_atom_site_fract_z
_atom_site_occupancy
B1 B 0.000 0.000 0.000 1
Sb1 Sb 0.500 0.500 0.500 1
P1 P 0.000 0.500 0.500 1
Cl1 Cl 0.500 0.500 0.000 1
# Density of states at the Fermi level = 4.062 states/eV/cell


Relative energies, kJ/mol of atoms: run a 0.0; run b 91.1.